DFT (PBE) results for a geometry-optimized Cr2InOs structure.

The structure in POSCAR format:
```
Cr2InOs
1.0
2.814 0.000 0.000
0.000 3.914 0.000
-0.954 0.000 5.447
Cr In Os
2 1 1
Direct
0.000 0.000 0.000
0.317 0.500 0.212
0.918 0.000 0.493
0.521 0.500 0.797
```

Computed properties:
Mass density   11.3 g/cm³
Magnetic moment   0.2 μB/f.u.
Symmetry   Pm (6)
Total DFT energy (no corrections)   -7.91 eV/atom
Energy relative to the elements   0.389 eV/atom
Density of states at the Fermi level   2.97 states/eV per cell